(1)
DFT (PBE-GGA) results for a relaxed Si3Ir crystal.

extended XYZ file:
```
16
Lattice="5.895 0.000 0.000 0.000 5.901 0.000 0.000 0.000 7.053" Properties=species:S:1:pos:R:3 pbc="T T T"
Si 0.672 5.534 5.289
Si 3.619 3.318 1.763
Si 3.763 1.081 6.528
Si 2.132 4.820 3.002
Si 5.223 0.367 1.763
Si 5.079 4.032 4.051
Si 0.815 1.869 3.002
Si 0.815 1.869 0.524
Si 5.079 4.032 6.528
Si 3.763 1.081 4.051
Si 2.132 4.820 0.524
Si 2.276 2.583 5.289
Ir 5.811 1.930 5.289
Ir 2.863 1.020 1.763
Ir 3.032 4.881 5.289
Ir 0.084 3.971 1.763
```

Computed properties:
E_tot   -104.61 eV for the cell shown
Symmetry   Pnma, No. 62
M_tot   0.00 μB per formula unit
Theoretical density   7.49 g cm⁻³
Formation energy (no corrections)   -0.2559 eV per atom

***

(2)
DFT (PBE-GGA) results for a relaxed Si5Ir3 crystal.

extended XYZ file:
```
8
Lattice="3.432 -3.978 0.000 3.432 3.978 0.000 0.000 0.000 4.029" Properties=species:S:1:pos:R:3 pbc="T T T"
Si 1.716 1.989 0.000
Si 1.716 -1.989 0.000
Si 5.054 0.000 2.014
Si 0.000 0.000 0.000
Si 1.809 0.000 2.014
Ir 3.432 2.031 2.014
Ir 3.432 0.000 0.000
Ir 3.432 -2.031 2.014
```

Computed properties:
Energy relative to the lowest polymorph listed for this composition   0.576 eV/atom
E_tot   -54.06 eV for the cell shown
Symmetry   Cmmm, No. 65
M_tot   0.00 μB per formula unit
Theoretical density   10.82 g cm⁻³
Formation energy (no corrections)   -0.0458 eV per atom